Record 1
Compound: Pa2TePd
Source: the Alexandria database
Functional: GGA-PBE
Structure: relaxed

Output
density of states at the Fermi level: 8.8 states/eV per cell
total magnetic moment: 1.2 μB per formula unit
calculated total energy: -28.605 eV/cell
distance to the lowest polymorph of the same formula: 121 meV per atom

a b c (Å): 4.5867 4.5867 4.4047
angles (deg): 90.00 90.00 90.00
Closest atoms and distances in Å follow each position.
Fractional coordinates of all 4 atoms:
Pa 0.0000 0.5000 0.0000  4 Te 3.18, 4 Pd 3.18, 4 Pa 3.24
Pa 0.5000 0.0000 0.0000  4 Te 3.18, 4 Pd 3.18, 4 Pa 3.24
Te 0.0000 0.0000 0.5000  8 Pa 3.18, 4 Pd 3.24
Pd 0.5000 0.5000 0.5000  8 Pa 3.18, 4 Te 3.24

=====

Record 2
Compound: Pa2TePd
Source: the Alexandria database
Functional: GGA-PBE
Structure: relaxed

Output
density of states at the Fermi level: 7.7 states/eV per cell
total magnetic moment: 0.7 μB per formula unit
calculated total energy: -29.088 eV/cell
distance to the lowest polymorph of the same formula: 0 meV per atom

a b c (Å): 3.4576 3.4576 7.8329
angles (deg): 90.00 90.00 90.00
Closest atoms and distances in Å follow each position.
Fractional coordinates of all 4 atoms:
Pa 0.0000 0.0000 0.2376  4 Pd 3.07, 4 Te 3.19
Pa 0.0000 0.0000 0.7624  4 Pd 3.07, 4 Te 3.19
Te 0.5000 0.5000 0.5000  8 Pa 3.19, 4 Te 3.46
Pd 0.5000 0.5000 0.0000  8 Pa 3.07

=====

Record 3
Compound: PaTePd
Source: the Alexandria database
Functional: GGA-PBE
Structure: relaxed

Output
density of states at the Fermi level: 4.5 states/eV per cell
total magnetic moment: 0.8 μB per formula unit
calculated total energy: -19.558 eV/cell
distance to the lowest polymorph of the same formula: 50 meV per atom

a b c (Å): 4.5379 4.5379 4.0144
angles (deg): 90.00 90.00 120.00
Closest atoms and distances in Å follow each position.
Fractional coordinates of all 3 atoms:
Pa 0.0000 0.0000 0.0000  3 Pd 2.88, 3 Te 3.23
Te 0.6667 0.3333 0.5303  3 Pd 2.78
Pd 0.3333 0.6667 0.3007  3 Te 2.78, 3 Pa 2.88

=====

Record 4
Compound: Pa2TePd9
Source: the Alexandria database
Functional: GGA-PBE
Structure: relaxed

Output
density of states at the Fermi level: 6.8 states/eV per cell
total magnetic moment: 0.0 μB per formula unit
calculated total energy: -76.260 eV/cell

a b c (Å): 4.1591 4.1591 12.3736
angles (deg): 90.00 90.00 90.00
Closest atoms and distances in Å follow each position.
Fractional coordinates of all 12 atoms:
Pa 0.0000 0.0000 0.1733  12 Pd 2.79-2.99
Pa 0.0000 0.0000 0.8267  12 Pd 2.79-2.99
Te 0.0000 0.0000 0.5000  12 Pd 2.94-3.02
Pd 0.0000 0.5000 0.0000  8 Pd 2.89-2.94, 4 Pa 2.99
Pd 0.0000 0.5000 0.3234  2 Pa 2.79, 8 Pd 2.88-3.02, 2 Te 3.02
Pd 0.0000 0.5000 0.6766  2 Pa 2.79, 8 Pd 2.88-3.02, 2 Te 3.02
Pd 0.5000 0.0000 0.0000  8 Pd 2.89-2.94, 4 Pa 2.99
Pd 0.5000 0.0000 0.3234  2 Pa 2.79, 8 Pd 2.88-3.02, 2 Te 3.02
Pd 0.5000 0.0000 0.6766  2 Pa 2.79, 8 Pd 2.88-3.02, 2 Te 3.02
Pd 0.5000 0.5000 0.1623  8 Pd 2.88-2.89, 4 Pa 2.94
Pd 0.5000 0.5000 0.5000  4 Te 2.94, 8 Pd 3.02
Pd 0.5000 0.5000 0.8377  8 Pd 2.88-2.89, 4 Pa 2.94

=====

Record 5
Compound: PaTe2Pd8
Source: the Alexandria database
Functional: GGA-PBE
Structure: relaxed

Output
density of states at the Fermi level: 4.0 states/eV per cell
total magnetic moment: 0.0 μB per formula unit
calculated total energy: -62.915 eV/cell

a b c (Å): 7.9556 7.9556 6.5228
angles (deg): 107.69 107.69 30.49
Closest atoms and distances in Å follow each position.
Fractional coordinates of all 11 atoms:
Pa 0.0000 0.0000 0.0000  12 Pd 2.79-2.91
Te 0.2983 0.2983 0.3422  7 Pd 2.68-2.92
Te 0.7017 0.7017 0.6578  7 Pd 2.68-2.92
Pd 0.0870 0.0870 0.4449  1 Pa 2.79, 2 Te 2.80, 8 Pd 2.85-3.06
Pd 0.1772 0.1772 0.9246  3 Te 2.77-2.82, 1 Pa 2.91, 7 Pd 2.91-3.00
Pd 0.3675 0.3675 0.8139  6 Pd 2.83-2.91, 2 Pa 2.90, 1 Te 2.92
Pd 0.4597 0.4597 0.2641  1 Te 2.68, 7 Pd 2.83-2.95, 2 Pa 2.90
Pd 0.5403 0.5403 0.7359  1 Te 2.68, 7 Pd 2.83-2.95, 2 Pa 2.90
Pd 0.6325 0.6325 0.1861  6 Pd 2.83-2.91, 2 Pa 2.90, 1 Te 2.92
Pd 0.8228 0.8228 0.0754  3 Te 2.77-2.82, 1 Pa 2.91, 7 Pd 2.91-3.00
Pd 0.9130 0.9130 0.5551  1 Pa 2.79, 2 Te 2.80, 8 Pd 2.85-3.06

=====

Record 6
Compound: Pa3Tl3Te8Pd
Source: the Alexandria database
Functional: GGA-PBE
Structure: relaxed

Output
density of states at the Fermi level: 21.3 states/eV per cell
total magnetic moment: 3.2 μB per formula unit
calculated total energy: -74.162 eV/cell

a b c (Å): 8.5253 8.5253 9.7521
angles (deg): 115.22 115.22 60.97
Closest atoms and distances in Å follow each position.
Fractional coordinates of all 15 atoms:
Pa 0.0000 0.0000 0.0000  6 Te 3.06-3.10
Pa 0.0000 0.5000 0.0000  6 Te 3.04-3.10
Pa 0.5000 0.0000 0.0000  6 Te 3.04-3.10
Tl 0.0000 0.5000 0.5000  6 Te 3.42-3.50
Tl 0.5000 0.0000 0.5000  6 Te 3.42-3.50
Tl 0.5000 0.5000 0.5000  6 Te 3.42-3.49
Te 0.2389 0.7343 0.2085  1 Pd 3.03, 2 Pa 3.04-3.06
Te 0.2407 0.2407 0.2210  3 Pa 3.10, 3 Tl 3.42
Te 0.2657 0.7611 0.7915  1 Pd 3.03, 2 Pa 3.04-3.06
Te 0.2782 0.2782 0.8009  1 Pd 2.85, 2 Pa 3.07
Te 0.7218 0.7218 0.1991  1 Pd 2.85, 2 Pa 3.07
Te 0.7343 0.2389 0.2085  1 Pd 3.03, 2 Pa 3.04-3.06
Te 0.7593 0.7593 0.7790  3 Pa 3.10, 3 Tl 3.42
Te 0.7611 0.2657 0.7915  1 Pd 3.03, 2 Pa 3.04-3.06
Pd 0.5000 0.5000 0.0000  6 Te 2.85-3.03